(1)
Below is an optimized crystal structure of Sr4SbAs2, with properties calculated at the PBE level.

Unit cell a=8.388 b=8.388 c=8.393 alpha=109.11 beta=109.11 gamma=110.17
Sites, in units of the cell vectors:
Sr  0.991  0.387  0.254
Sb  0.750  0.250  0.500
Sr  0.759  0.513  0.895
As  0.501  0.125  0.876
Sr  0.137  0.241  0.754
Sr  0.263  0.009  0.395
As  0.375  0.499  0.624
Sr  0.614  0.867  0.605
Sr  0.487  0.383  0.246
Sr  0.133  0.737  0.746
Sb  0.000  0.000  0.000
Sr  0.617  0.864  0.105
As  0.249  0.625  0.124
As  0.875  0.751  0.376

Properties
E_form (uncorrected): -1055 meV per atom
Final energy: -55.07 eV/cell
Crystal system: tetragonal

=====

(2)
Below is an optimized crystal structure of SrSbAs2, with properties calculated at the PBE level.

Unit cell a=5.903 b=5.903 c=5.240 alpha=71.09 beta=71.09 gamma=38.97
Sites, in units of the cell vectors:
As  0.046  0.046  0.886
Sr  0.243  0.243  0.254
Sb  0.462  0.462  0.608
As  0.750  0.750  0.751

Properties
E_form (uncorrected): -447 meV per atom
Final energy: -16.89 eV/cell
Crystal system: monoclinic

=====

(3)
Below is an optimized crystal structure of SrSb2As2, with properties calculated at the PBE level.

Unit cell a=8.607 b=8.607 c=3.879 alpha=90.00 beta=90.00 gamma=90.00
Sites, in units of the cell vectors:
Sb  0.864  0.636  0.000
As  0.791  0.291  0.500
Sb  0.136  0.364  0.000
Sb  0.636  0.136  0.000
Sr  0.500  0.500  0.000
As  0.209  0.709  0.500
Sr  0.000  0.000  0.000
As  0.709  0.791  0.500
As  0.291  0.209  0.500
Sb  0.364  0.864  0.000

Properties
E_form (uncorrected): -246 meV per atom
Final energy: -40.91 eV/cell
Crystal system: tetragonal

=====

(4)
Below is an optimized crystal structure of Sr2SbAs, with properties calculated at the PBE level.

Unit cell a=9.152 b=9.152 c=9.152 alpha=26.81 beta=26.81 gamma=26.81
Sites, in units of the cell vectors:
Sr  0.511  0.511  0.511
Sb  0.750  0.750  0.750
As  0.250  0.250  0.250
Sr  0.989  0.989  0.989

Properties
E_form (uncorrected): -787 meV per atom
Final energy: -15.29 eV/cell
Crystal system: trigonal

=====

(5)
Below is an optimized crystal structure of SrSbAs2, with properties calculated at the PBE level.

Unit cell a=6.313 b=6.313 c=5.327 alpha=55.35 beta=55.35 gamma=40.92
Sites, in units of the cell vectors:
Sr  0.250  0.250  0.250
As  0.021  0.021  0.086
Sb  0.750  0.750  0.750
As  0.479  0.479  0.414

Properties
E_form (uncorrected): -405 meV per atom
Final energy: -16.72 eV/cell
Crystal system: monoclinic

=====

(6)
Below is an optimized crystal structure of SrSbAs2, with properties calculated at the PBE level.

Unit cell a=4.868 b=4.868 c=4.196 alpha=90.00 beta=90.00 gamma=90.05
Sites, in units of the cell vectors:
Sb  0.500  0.000  0.500
As  0.000  0.000  0.000
As  0.500  0.500  0.000
Sr  0.000  0.500  0.500

Properties
E_form (uncorrected): -364 meV per atom
Final energy: -16.56 eV/cell
Crystal system: tetragonal

=====

(7)
Below is an optimized crystal structure of SrSb2As2, with properties calculated at the PBE level.

Unit cell a=4.419 b=4.419 c=7.879 alpha=73.71 beta=73.71 gamma=90.00
Sites, in units of the cell vectors:
Sb  0.750  0.250  0.500
As  0.585  0.585  0.830
As  0.415  0.415  0.170
Sr  0.000  0.000  0.000
Sb  0.250  0.750  0.500

Properties
E_form (uncorrected): -269 meV per atom
Final energy: -20.57 eV/cell
Crystal system: tetragonal

=====

(8)
Below is an optimized crystal structure of SrSb2As2, with properties calculated at the PBE level.

Unit cell a=5.513 b=5.513 c=6.282 alpha=63.97 beta=63.97 gamma=90.00
Sites, in units of the cell vectors:
Sr  0.000  0.000  0.000
As  0.250  0.750  0.500
Sb  0.339  0.339  0.322
Sb  0.661  0.661  0.678
As  0.750  0.250  0.500

Properties
E_form (uncorrected): -256 meV per atom
Final energy: -20.51 eV/cell
Crystal system: tetragonal

=====

(9)
Below is an optimized crystal structure of SrSbAs2, with properties calculated at the PBE level.

Unit cell a=5.448 b=5.448 c=5.448 alpha=126.18 beta=126.18 gamma=79.59
Sites, in units of the cell vectors:
As  0.000  0.000  0.000
As  0.500  0.500  0.000
Sb  0.250  0.750  0.500
Sr  0.750  0.250  0.500

Properties
E_form (uncorrected): -273 meV per atom
Final energy: -16.19 eV/cell
Crystal system: tetragonal

=====

(10)
Below is an optimized crystal structure of SrSbAs2, with properties calculated at the PBE level.

Unit cell a=4.141 b=4.609 c=6.329 alpha=70.09 beta=90.00 gamma=90.00
Sites, in units of the cell vectors:
As  0.000  0.323  0.830
Sr  0.500  0.787  0.910
Sb  0.000  0.371  0.405
As  0.500  0.018  0.355

Properties
E_form (uncorrected): -448 meV per atom
Final energy: -16.89 eV/cell
Crystal system: monoclinic

=====

(11)
Below is an optimized crystal structure of SrSbAs2, with properties calculated at the PBE level.

Unit cell a=7.647 b=7.647 c=6.946 alpha=56.60 beta=56.60 gamma=90.00
Sites, in units of the cell vectors:
Sr  0.250  0.750  0.500
Sb  0.750  0.250  0.500
As  0.672  0.125  0.250
As  0.875  0.922  0.750
As  0.375  0.328  0.750
Sr  0.500  0.500  0.000
Sb  0.000  0.000  0.000
As  0.078  0.625  0.250

Properties
E_form (uncorrected): -298 meV per atom
Final energy: -32.59 eV/cell
Crystal system: tetragonal

=====

(12)
Below is an optimized crystal structure of Sr2Sb2As, with properties calculated at the PBE level.

Unit cell a=8.060 b=8.060 c=4.820 alpha=90.00 beta=90.00 gamma=90.00
Sites, in units of the cell vectors:
Sr  0.173  0.673  0.500
As  0.500  0.500  0.000
Sb  0.634  0.134  0.000
Sb  0.866  0.634  0.000
Sr  0.827  0.327  0.500
Sr  0.673  0.827  0.500
Sb  0.134  0.366  0.000
Sr  0.327  0.173  0.500
Sb  0.366  0.866  0.000
As  0.000  0.000  0.000

Properties
E_form (uncorrected): -654 meV per atom
Final energy: -39.06 eV/cell
Crystal system: tetragonal

=====

(13)
Below is an optimized crystal structure of SrSb3As, with properties calculated at the PBE level.

Unit cell a=5.940 b=5.940 c=5.940 alpha=90.00 beta=90.00 gamma=90.00
Sites, in units of the cell vectors:
Sb  0.000  0.500  0.000
Sr  0.000  0.000  0.000
Sb  0.000  0.000  0.500
Sb  0.500  0.000  0.000
As  0.500  0.500  0.500

Properties
E_form (uncorrected): 1166 meV per atom
Final energy: -12.87 eV/cell
Crystal system: cubic

=====

(14)
Below is an optimized crystal structure of SrSbAs2, with properties calculated at the PBE level.

Unit cell a=5.780 b=5.780 c=5.780 alpha=139.38 beta=122.54 gamma=72.73
Sites, in units of the cell vectors:
As  0.972  0.972  0.000
Sr  0.250  0.750  0.500
As  0.528  0.528  0.000
Sb  0.750  0.250  0.500

Properties
E_form (uncorrected): -299 meV per atom
Final energy: -16.30 eV/cell
Crystal system: orthorhombic

=====

(15)
Below is an optimized crystal structure of Sr2SbAs, with properties calculated at the PBE level.

Unit cell a=5.602 b=5.602 c=5.602 alpha=60.00 beta=60.00 gamma=60.00
Sites, in units of the cell vectors:
As  0.000  0.000  0.000
Sr  0.750  0.750  0.750
Sb  0.500  0.500  0.500
Sr  0.250  0.250  0.250

Properties
E_form (uncorrected): -791 meV per atom
Final energy: -15.30 eV/cell
Crystal system: cubic

=====

(16)
Below is an optimized crystal structure of SrSbAs2, with properties calculated at the PBE level.

Unit cell a=4.259 b=4.259 c=6.516 alpha=90.00 beta=90.00 gamma=90.00
Sites, in units of the cell vectors:
Sb  0.000  0.000  0.304
As  0.500  0.500  0.395
Sr  0.500  0.500  0.898
As  0.000  0.000  0.903

Properties
E_form (uncorrected): -393 meV per atom
Final energy: -16.68 eV/cell
Crystal system: tetragonal

=====

(17)
Below is an optimized crystal structure of SrSbAs2, with properties calculated at the PBE level.

Unit cell a=4.296 b=4.825 c=5.897 alpha=77.03 beta=90.00 gamma=90.00
Sites, in units of the cell vectors:
As  0.000  0.378  0.546
Sb  0.500  0.250  0.250
As  0.000  0.122  0.954
Sr  0.500  0.750  0.750

Properties
E_form (uncorrected): -431 meV per atom
Final energy: -16.83 eV/cell
Crystal system: monoclinic

=====

(18)
Below is an optimized crystal structure of SrSbAs2, with properties calculated at the PBE level.

Unit cell a=6.047 b=6.047 c=6.047 alpha=143.28 beta=128.96 gamma=64.51
Sites, in units of the cell vectors:
Sr  0.248  0.748  0.500
As  0.762  0.262  0.500
As  0.959  0.959  0.000
Sb  0.532  0.532  0.000

Properties
E_form (uncorrected): -373 meV per atom
Final energy: -16.60 eV/cell
Crystal system: orthorhombic

=====

(19)
Below is an optimized crystal structure of SrSbAs2, with properties calculated at the PBE level.

Unit cell a=5.288 b=5.288 c=5.288 alpha=60.00 beta=60.00 gamma=60.00
Sites, in units of the cell vectors:
Sb  0.500  0.500  0.500
Sr  0.750  0.750  0.750
As  0.250  0.250  0.250
As  0.000  0.000  0.000

Properties
E_form (uncorrected): -66 meV per atom
Final energy: -15.37 eV/cell
Crystal system: cubic

=====

(20)
Below is an optimized crystal structure of Sr4Sb2As, with properties calculated at the PBE level.

Unit cell a=8.881 b=8.881 c=8.881 alpha=107.88 beta=110.28 gamma=110.27
Sites, in units of the cell vectors:
Sr  0.696  0.634  0.938
Sr  0.304  0.062  0.366
As  0.500  0.750  0.250
Sb  0.250  0.875  0.625
Sr  0.804  0.688  0.492
As  0.000  0.000  0.000
Sb  0.750  0.375  0.125
Sb  0.750  0.375  0.625
Sr  0.196  0.688  0.884
Sr  0.804  0.116  0.312
Sb  0.250  0.375  0.625
Sr  0.304  0.242  0.938
Sr  0.196  0.508  0.312
Sr  0.696  0.062  0.758

Properties
E_form (uncorrected): -900 meV per atom
Final energy: -51.84 eV/cell
Crystal system: tetragonal